Material: MgScIr2
Method: DFT, PBE
State: optimized geometry

Calculated values
**Final energy**: -6.488 eV/atom

a b c (Å): 7.104 7.104 5.752
angles (deg): 51.86 51.86 90.00
Fractional coordinates of all 8 atoms:
Sc1 0.000 0.000 0.000
Sc2 0.750 0.250 0.500
Mg1 0.500 0.500 0.000
Mg2 0.250 0.750 0.500
Ir1 0.625 0.125 0.250
Ir2 0.125 0.625 0.250
Ir3 0.375 0.375 0.750
Ir4 0.875 0.875 0.750

Material: La3Cu2Si4
Method: DFT, PBE
State: optimized geometry

Calculated values
**E above lowest polymorph**: 0.000 eV/atom
**Formation energy without anion corrections**: -721 meV/atom

a b c (Å): 4.145 6.002 8.364
angles (deg): 97.70 90.00 110.20
Fractional coordinates of all 9 atoms:
La1 0.663 0.325 0.668
La2 0.000 0.000 0.000
La3 0.337 0.675 0.332
Cu1 0.611 0.221 0.281
Cu2 0.389 0.779 0.719
Si1 0.718 0.437 0.060
Si2 0.282 0.563 0.940
Si3 0.942 0.883 0.611
Si4 0.058 0.117 0.389

Material: TaIrPd2
Method: DFT, PBE
State: optimized geometry

Calculated values
**E above lowest polymorph**: 0.000 eV/atom

a b c (Å): 4.107 3.879 3.879
angles (deg): 90.00 90.00 90.00
Fractional coordinates of all 4 atoms:
Ir1 0.500 0.000 0.000
Pd1 0.000 0.000 0.500
Pd2 0.000 0.500 0.000
Ta1 0.500 0.500 0.500

Material: PuCoRh
Method: DFT, PBE
State: optimized geometry

Calculated values
**E above lowest polymorph**: 0.267 eV/atom

a b c (Å): 4.495 4.495 5.519
angles (deg): 90.00 90.00 111.02
Fractional coordinates of all 6 atoms:
Pu1 0.673 0.327 0.750
Pu2 0.327 0.673 0.250
Rh1 0.308 0.692 0.750
Rh2 0.692 0.308 0.250
Co1 0.000 0.000 0.000
Co2 0.000 0.000 0.500

Material: Re2As
Method: DFT, PBE
State: optimized geometry

Calculated values
**Final energy**: -9.486 eV/atom

a b c (Å): 7.138 7.138 4.482
angles (deg): 90.00 90.00 156.23
Fractional coordinates of all 6 atoms:
Re1 0.958 0.042 0.750
Re2 0.295 0.705 0.750
Re3 0.705 0.295 0.250
Re4 0.042 0.958 0.250
As1 0.620 0.380 0.750
As2 0.380 0.620 0.250

Material: MgFePb2
Method: DFT, PBE
State: optimized geometry

Calculated values
**Final energy**: -4.039 eV/atom

a b c (Å): 4.390 3.831 5.767
angles (deg): 70.84 90.00 90.00
Fractional coordinates of all 4 atoms:
Fe1 0.000 0.705 0.468
Mg1 0.500 0.549 0.776
Pb1 0.000 0.977 0.919
Pb2 0.500 0.269 0.337

Material: NaZn2Cd2
Method: DFT, PBE
State: optimized geometry

Calculated values
**E above lowest polymorph**: 0.000 eV/atom

a b c (Å): 4.535 5.690 9.147
angles (deg): 85.80 76.25 66.14
Fractional coordinates of all 10 atoms:
Na1 0.042 0.619 0.299
Na2 0.958 0.381 0.701
Zn1 0.850 0.162 0.138
Zn2 0.656 0.957 0.728
Zn3 0.344 0.043 0.272
Zn4 0.150 0.838 0.862
Cd1 0.641 0.692 0.028
Cd2 0.668 0.211 0.453
Cd3 0.359 0.308 0.972
Cd4 0.332 0.789 0.547

Material: Ho3Zn2Rh7
Method: DFT, PBE
State: optimized geometry

Calculated values
**Final energy**: -6.291 eV/atom

a b c (Å): 5.377 5.377 8.861
angles (deg): 72.34 72.34 60.00
Fractional coordinates of all 12 atoms:
Ho1 0.000 0.000 0.000
Ho2 0.859 0.859 0.422
Ho3 0.141 0.141 0.578
Zn1 0.665 0.665 0.004
Zn2 0.335 0.335 0.996
Rh1 0.500 0.500 0.500
Rh2 0.922 0.415 0.249
Rh3 0.415 0.922 0.249
Rh4 0.415 0.415 0.249
Rh5 0.078 0.585 0.751
Rh6 0.585 0.585 0.751
Rh7 0.585 0.078 0.751

Material: NaNpAgF6
Method: DFT, PBE
State: optimized geometry

Calculated values
**Formation energy without anion corrections**: -2764 meV/atom

a b c (Å): 6.061 6.061 9.802
angles (deg): 90.00 90.00 120.00
Fractional coordinates of all 18 atoms:
Na1 0.333 0.667 0.250
Na2 0.667 0.333 0.750
Np1 0.667 0.333 0.250
Np2 0.333 0.667 0.750
Ag1 0.000 0.000 0.000
Ag2 0.000 0.000 0.500
F1 0.655 0.634 0.134
F2 0.978 0.345 0.134
F3 0.345 0.978 0.634
F4 0.022 0.655 0.866
F5 0.366 0.345 0.366
F6 0.978 0.634 0.366
F7 0.634 0.978 0.866
F8 0.655 0.022 0.366
F9 0.022 0.366 0.634
F10 0.366 0.022 0.134
F11 0.634 0.655 0.634
F12 0.345 0.366 0.866

Material: Ce2Pu4Ge3
Method: DFT, PBE
State: optimized geometry

Calculated values
**Final energy**: -9.679 eV/atom

a b c (Å): 3.916 5.311 11.948
angles (deg): 113.77 90.00 111.63
Fractional coordinates of all 9 atoms:
Ce1 0.568 0.136 0.219
Ce2 0.432 0.864 0.781
Pu1 0.770 0.540 0.113
Pu2 0.230 0.460 0.887
Pu3 0.894 0.789 0.554
Pu4 0.106 0.211 0.446
Ge1 0.663 0.326 0.665
Ge2 0.000 0.000 0.000
Ge3 0.337 0.674 0.335

Material: YTm4Bi3
Method: DFT, PBE
State: optimized geometry

Calculated values
**Final energy**: -4.753 eV/atom

a b c (Å): 4.322 11.287 10.045
angles (deg): 133.81 102.42 90.00
Fractional coordinates of all 8 atoms:
Y1 0.000 0.000 0.000
Tm1 0.037 0.735 0.073
Tm2 0.963 0.265 0.927
Tm3 0.719 0.854 0.438
Tm4 0.281 0.146 0.562
Bi1 0.375 0.977 0.750
Bi2 0.625 0.023 0.250
Bi3 0.500 0.500 0.000

Material: PmDy2Er2
Method: DFT, PBE
State: optimized geometry

Calculated values
**E above lowest polymorph**: 0.426 eV/atom

a b c (Å): 6.423 6.423 11.604
angles (deg): 95.86 95.86 129.11
Fractional coordinates of all 10 atoms:
Pm1 0.750 0.250 0.500
Pm2 0.500 0.500 0.000
Dy1 0.419 0.581 0.500
Dy2 0.169 0.831 0.000
Dy3 0.081 0.919 0.500
Dy4 0.831 0.169 0.000
Er1 0.125 0.375 0.750
Er2 0.625 0.375 0.250
Er3 0.625 0.375 0.750
Er4 0.625 0.875 0.250

Material: CaOs2
Method: DFT, PBE
State: optimized geometry

Calculated values
**Final energy**: -7.504 eV/atom

a b c (Å): 7.833 7.833 4.809
angles (deg): 90.00 90.00 158.66
Fractional coordinates of all 6 atoms:
Ca1 0.585 0.415 0.750
Ca2 0.415 0.585 0.250
Os1 0.905 0.095 0.750
Os2 0.269 0.731 0.750
Os3 0.731 0.269 0.250
Os4 0.095 0.905 0.250